Entry 1:
Here is a relaxed TaCoAgSn crystal from the Open Quantum Materials Database. Energies are from GGA-PBE.

POSCAR file:
```
TaCoAgSn
1.0
0.000 3.216 3.216
3.216 0.000 3.216
3.216 3.216 0.000
Ag Co Sn Ta
1 1 1 1
Cartesian
1.608 1.608 1.608
4.824 4.824 4.824
0.000 0.000 0.000
3.216 3.216 3.216
```

Excess energy over the best structure of this formula in the dataset (meV/atom): 0
Size of the total moment (μB per cell): 0.02
Mass density (g/cm³): 11.65
SG: F-43m, No. 216
Calculated volume (Å³ per cell): 67

Entry 2:
Here is a relaxed TaCoAgSn crystal from the Open Quantum Materials Database. Energies are from GGA-PBE.

POSCAR file:
```
TaCoAgSn
1.0
-2.039 1.113 3.965
-4.446 1.161 0.050
-3.095 -2.837 1.867
Ag Co Sn Ta
1 1 1 1
Cartesian
-4.790 -0.282 2.941
-7.185 -0.423 4.412
0.000 0.000 0.000
-2.395 -0.141 1.471
```

Excess energy over the best structure of this formula in the dataset (meV/atom): 136
Size of the total moment (μB per cell): 1.13
Mass density (g/cm³): 11.29
SG: F-43m, No. 216
Calculated volume (Å³ per cell): 69

Entry 3:
Here is a relaxed CoAgSnTe3 crystal from the Open Quantum Materials Database. Energies are from GGA-PBE.

POSCAR file:
```
CoAgSnTe3
1.0
-6.837 3.314 -3.782
4.074 -4.387 6.014
1.125 8.664 5.558
Ag Co Sn Te
2 2 2 6
Cartesian
2.269 -0.749 5.530
-3.906 8.339 2.260
-1.381 -0.537 1.116
-0.818 3.795 3.895
-4.617 4.112 -0.652
2.980 3.478 8.443
2.949 -3.387 5.104
-0.786 1.408 2.787
3.463 0.567 7.640
-5.100 7.023 0.151
-0.851 6.182 5.003
-4.586 10.977 2.687
```

Calculated total energy (eV per atom): -3.9696
Size of the total moment (μB per cell): 0.01
Mass density (g/cm³): 6.98
SG: Cmcm, No. 63
Calculated volume (Å³ per cell): 318